Entry from Alexandria: a relaxed structure of Y2TmPa2Co5 (GGA-PBE).

a b c (Å): 10.466 10.466 3.448
angles (deg): 90.00 90.00 90.00
Atoms (fractional coordinates):
1 Y 0.171 0.329 0.000
2 Y 0.329 0.829 0.000
3 Y 0.671 0.171 0.000
4 Y 0.829 0.671 0.000
5 Tm 0.000 0.000 0.000
6 Tm 0.500 0.500 0.000
7 Pa 0.136 0.636 0.000
8 Pa 0.364 0.136 0.000
9 Pa 0.636 0.864 0.000
10 Pa 0.864 0.364 0.000
11 Co 0.000 0.500 0.500
12 Co 0.042 0.779 0.500
13 Co 0.221 0.042 0.500
14 Co 0.279 0.542 0.500
15 Co 0.458 0.279 0.500
16 Co 0.500 0.000 0.500
17 Co 0.542 0.721 0.500
18 Co 0.721 0.458 0.500
19 Co 0.779 0.958 0.500
20 Co 0.958 0.221 0.500

Computed properties:
- D(E_F): 9.87 states/eV per cell
- Total moment: 0.0 μB per formula unit
- Calculated total energy: -7.34 eV per atom
- Formation energy from the elements: -0.15 eV per atom